(a)
Here is crystalline Ba2MnCl at its relaxed geometry from Alexandria via LeMat-Bulk. Energies are from GGA-PBE.

Cell lengths 5.371, 4.042, 12.920 Å; angles 90.00, 90.00, 90.00 degrees
Fractional positions:
1 Ba 0.000 0.000 0.000
2 Ba 0.000 0.500 0.500
3 Ba 0.500 0.000 0.266
4 Ba 0.500 0.500 0.766
5 Mn 0.500 0.000 0.520
6 Mn 0.500 0.500 0.020
7 Cl 0.000 0.000 0.748
8 Cl 0.000 0.500 0.248

Density of states at the Fermi level (states/eV/f.u.): 3.700
Total moment (μB per formula unit): 2.9
Space group: Amm2

(b)
Here is crystalline Ba2MnCl at its relaxed geometry from Alexandria via LeMat-Bulk. Energies are from GGA-PBE.

Cell lengths 4.196, 4.058, 9.133 Å; angles 90.00, 90.45, 90.00 degrees
Fractional positions:
1 Ba 0.004 0.000 0.228
2 Ba 0.996 0.000 0.772
3 Mn 0.500 0.500 0.000
4 Cl 0.000 0.500 0.500

Density of states at the Fermi level (states/eV/f.u.): 4.382
Total moment (μB per formula unit): 3.1
Space group: P2/m

(c)
Here is crystalline Ba2MnCl at its relaxed geometry from Alexandria via LeMat-Bulk. Energies are from GGA-PBE.

Cell lengths 8.186, 8.186, 8.186 Å; angles 90.00, 90.00, 90.00 degrees
Fractional positions:
1 Ba 0.000 0.000 0.000
2 Ba 0.000 0.500 0.500
3 Ba 0.250 0.250 0.250
4 Ba 0.250 0.750 0.750
5 Ba 0.500 0.000 0.500
6 Ba 0.500 0.500 0.000
7 Ba 0.750 0.250 0.750
8 Ba 0.750 0.750 0.250
9 Mn 0.250 0.250 0.750
10 Mn 0.250 0.750 0.250
11 Mn 0.750 0.250 0.250
12 Mn 0.750 0.750 0.750
13 Cl 0.000 0.000 0.500
14 Cl 0.000 0.500 0.000
15 Cl 0.500 0.000 0.000
16 Cl 0.500 0.500 0.500

Density of states at the Fermi level (states/eV/f.u.): 4.049
Total moment (μB per formula unit): 2.5
Space group: F-43m

(d)
Here is crystalline Ba2MnCl at its relaxed geometry from Alexandria via LeMat-Bulk. Energies are from GGA-PBE.

Cell lengths 8.411, 8.423, 3.767 Å; angles 90.00, 90.52, 90.00 degrees
Fractional positions:
1 Ba 0.250 0.250 0.000
2 Ba 0.250 0.750 0.000
3 Ba 0.750 0.250 0.000
4 Ba 0.750 0.750 0.000
5 Mn 0.000 0.000 0.500
6 Mn 0.500 0.500 0.500
7 Cl 0.000 0.500 0.500
8 Cl 0.500 0.000 0.500

Density of states at the Fermi level (states/eV/f.u.): 5.054
Total moment (μB per formula unit): 3.3
Space group: C2/m

Decreasing stability: (b), (a), (d), (c)

(a)
Here is crystalline BaMn3Cl at its relaxed geometry from Alexandria via LeMat-Bulk. Energies are from GGA-PBE.

Cell lengths 6.458, 6.458, 6.458 Å; angles 90.00, 90.00, 90.00 degrees
Fractional positions:
1 Ba 0.000 0.000 0.000
2 Mn 0.000 0.000 0.500
3 Mn 0.000 0.500 0.000
4 Mn 0.500 0.000 0.000
5 Cl 0.500 0.500 0.500

Density of states at the Fermi level (states/eV/f.u.): 7.159
Total moment (μB per formula unit): 14.0
Space group: Pm-3m

(b)
Here is crystalline BaMn3Cl at its relaxed geometry from Alexandria via LeMat-Bulk. Energies are from GGA-PBE.

Cell lengths 4.820, 4.820, 4.820 Å; angles 90.00, 90.00, 90.00 degrees
Fractional positions:
1 Ba 0.000 0.000 0.000
2 Mn 0.000 0.500 0.500
3 Mn 0.500 0.000 0.500
4 Mn 0.500 0.500 0.000
5 Cl 0.500 0.500 0.500

Density of states at the Fermi level (states/eV/f.u.): 2.274
Total moment (μB per formula unit): 10.1
Space group: Pm-3m

Decreasing stability: (b), (a)

(a)
Here is crystalline BaMn2Cl8 at its relaxed geometry from Alexandria via LeMat-Bulk. Energies are from GGA-PBE.

Cell lengths 8.319, 8.319, 8.319 Å; angles 129.60, 129.60, 74.05 degrees
Fractional positions:
1 Ba 0.000 0.000 0.000
2 Mn 0.250 0.750 0.500
3 Mn 0.750 0.250 0.500
4 Cl 0.032 0.526 0.820
5 Cl 0.212 0.032 0.507
6 Cl 0.294 0.474 0.507
7 Cl 0.474 0.968 0.180
8 Cl 0.526 0.706 0.493
9 Cl 0.706 0.212 0.180
10 Cl 0.788 0.294 0.820
11 Cl 0.968 0.788 0.493

Total moment (μB per formula unit): 8.1
Space group: I422

(b)
Here is crystalline BaMn2Cl8 at its relaxed geometry from Alexandria via LeMat-Bulk. Energies are from GGA-PBE.

Cell lengths 6.304, 6.304, 7.472 Å; angles 90.00, 90.00, 90.00 degrees
Fractional positions:
1 Ba 0.000 0.000 0.000
2 Mn 0.000 0.500 0.500
3 Mn 0.500 0.000 0.500
4 Cl 0.253 0.253 0.294
5 Cl 0.253 0.253 0.706
6 Cl 0.253 0.747 0.294
7 Cl 0.253 0.747 0.706
8 Cl 0.747 0.253 0.294
9 Cl 0.747 0.253 0.706
10 Cl 0.747 0.747 0.294
11 Cl 0.747 0.747 0.706

Density of states at the Fermi level (states/eV/f.u.): 9.319
Total moment (μB per formula unit): 8.4
Space group: P4/mmm

Decreasing stability: (a), (b)

(a)
Here is crystalline BaMnCl6 at its relaxed geometry from Alexandria via LeMat-Bulk. Energies are from GGA-PBE.

Cell lengths 6.559, 6.573, 7.122 Å; angles 90.11, 117.28, 119.78 degrees
Fractional positions:
1 Ba 0.000 0.000 0.000
2 Mn 0.000 0.500 0.500
3 Cl 0.168 0.492 0.283
4 Cl 0.207 0.323 0.717
5 Cl 0.392 0.882 0.718
6 Cl 0.608 0.118 0.282
7 Cl 0.793 0.677 0.283
8 Cl 0.832 0.508 0.717

Total moment (μB per formula unit): 3.0
Space group: P-1

(b)
Here is crystalline BaMnCl6 at its relaxed geometry from Alexandria via LeMat-Bulk. Energies are from GGA-PBE.

Cell lengths 6.615, 6.615, 10.491 Å; angles 90.98, 90.98, 86.16 degrees
Fractional positions:
1 Ba 0.030 0.970 0.750
2 Ba 0.970 0.030 0.250
3 Mn 0.000 0.500 0.500
4 Mn 0.500 0.000 0.000
5 Cl 0.069 0.532 0.288
6 Cl 0.199 0.200 0.503
7 Cl 0.200 0.199 0.003
8 Cl 0.274 0.674 0.555
9 Cl 0.326 0.726 0.945
10 Cl 0.468 0.931 0.212
11 Cl 0.532 0.069 0.788
12 Cl 0.674 0.274 0.055
13 Cl 0.726 0.326 0.445
14 Cl 0.800 0.801 0.997
15 Cl 0.801 0.800 0.497
16 Cl 0.931 0.468 0.712

Total moment (μB per formula unit): 3.1
Space group: C2/c

Decreasing stability: (b), (a)

(a)
Here is crystalline BaMnCl3 at its relaxed geometry from Alexandria via LeMat-Bulk. Energies are from GGA-PBE.

Cell lengths 5.990, 5.990, 5.990 Å; angles 90.00, 90.00, 90.00 degrees
Fractional positions:
1 Ba 0.000 0.000 0.000
2 Mn 0.500 0.500 0.500
3 Cl 0.000 0.000 0.500
4 Cl 0.000 0.500 0.000
5 Cl 0.500 0.000 0.000

Density of states at the Fermi level (states/eV/f.u.): 0.000
Total moment (μB per formula unit): 6.0
Space group: Pm-3m

(b)
Here is crystalline BaMnCl3 at its relaxed geometry from Alexandria via LeMat-Bulk. Energies are from GGA-PBE.

Cell lengths 4.999, 4.999, 4.999 Å; angles 90.00, 90.00, 90.00 degrees
Fractional positions:
1 Ba 0.000 0.000 0.000
2 Mn 0.500 0.500 0.500
3 Cl 0.000 0.500 0.500
4 Cl 0.500 0.000 0.500
5 Cl 0.500 0.500 0.000

Density of states at the Fermi level (states/eV/f.u.): 3.143
Total moment (μB per formula unit): 4.1
Space group: Pm-3m

Decreasing stability: (b), (a)

(a)
Here is crystalline BaMn2Cl6 at its relaxed geometry from Alexandria via LeMat-Bulk. Energies are from GGA-PBE.

Cell lengths 7.378, 7.378, 8.747 Å; angles 104.05, 104.05, 40.95 degrees
Fractional positions:
1 Ba 0.000 0.000 0.000
2 Mn 0.234 0.234 0.657
3 Mn 0.766 0.766 0.343
4 Cl 0.079 0.079 0.706
5 Cl 0.232 0.232 0.374
6 Cl 0.366 0.366 0.897
7 Cl 0.634 0.634 0.103
8 Cl 0.768 0.768 0.626
9 Cl 0.921 0.921 0.294

Density of states at the Fermi level (states/eV/f.u.): 0.000
Total moment (μB per formula unit): 10.0
Space group: C2/m

(b)
Here is crystalline BaMn2Cl6 at its relaxed geometry from Alexandria via LeMat-Bulk. Energies are from GGA-PBE.

Cell lengths 9.184, 9.184, 7.389 Å; angles 106.30, 106.30, 78.57 degrees
Fractional positions:
1 Ba 0.160 0.840 0.750
2 Ba 0.840 0.160 0.250
3 Mn 0.237 0.371 0.793
4 Mn 0.371 0.237 0.293
5 Mn 0.629 0.763 0.707
6 Mn 0.763 0.629 0.207
7 Cl 0.075 0.179 0.655
8 Cl 0.148 0.604 0.967
9 Cl 0.179 0.075 0.155
10 Cl 0.268 0.451 0.520
11 Cl 0.396 0.852 0.533
12 Cl 0.451 0.268 0.020
13 Cl 0.549 0.732 0.980
14 Cl 0.604 0.148 0.467
15 Cl 0.732 0.549 0.480
16 Cl 0.821 0.925 0.845
17 Cl 0.852 0.396 0.033
18 Cl 0.925 0.821 0.345

Density of states at the Fermi level (states/eV/f.u.): 0.000
Total moment (μB per formula unit): 10.0
Space group: C2/c

Decreasing stability: (b), (a)

(a)
Here is crystalline BaMnS2Cl at its relaxed geometry from Alexandria via LeMat-Bulk. Energies are from GGA-PBE.

Cell lengths 5.827, 5.827, 5.752 Å; angles 90.00, 90.00, 90.00 degrees
Fractional positions:
1 Ba 0.000 0.000 0.000
2 Mn 0.500 0.500 0.500
3 S 0.000 0.500 0.000
4 S 0.500 0.000 0.000
5 Cl 0.000 0.000 0.500

Density of states at the Fermi level (states/eV/f.u.): 4.173
Total moment (μB per formula unit): 4.8
Space group: P4/mmm

(b)
Here is crystalline BaMnS2Cl at its relaxed geometry from Alexandria via LeMat-Bulk. Energies are from GGA-PBE.

Cell lengths 4.778, 4.778, 5.066 Å; angles 90.00, 90.00, 90.00 degrees
Fractional positions:
1 Ba 0.000 0.000 0.000
2 Mn 0.500 0.500 0.500
3 S 0.000 0.500 0.500
4 S 0.500 0.000 0.500
5 Cl 0.500 0.500 0.000

Density of states at the Fermi level (states/eV/f.u.): 1.599
Total moment (μB per formula unit): 4.2
Space group: P4/mmm

Decreasing stability: (b), (a)

(a)
Here is crystalline BaMo2Cl at its relaxed geometry from Alexandria via LeMat-Bulk. Energies are from GGA-PBE.

Cell lengths 3.068, 5.360, 10.090 Å; angles 90.00, 90.00, 90.00 degrees
Fractional positions:
1 Ba 0.000 0.000 0.000
2 Ba 0.500 0.500 0.000
3 Mo 0.000 0.500 0.291
4 Mo 0.000 0.500 0.709
5 Mo 0.500 0.000 0.291
6 Mo 0.500 0.000 0.709
7 Cl 0.000 0.000 0.500
8 Cl 0.500 0.500 0.500

Density of states at the Fermi level (states/eV/f.u.): 5.410
Total moment (μB per formula unit): 0.0
Space group: Cmmm

(b)
Here is crystalline BaMo2Cl at its relaxed geometry from Alexandria via LeMat-Bulk. Energies are from GGA-PBE.

Cell lengths 12.844, 3.405, 4.938 Å; angles 90.00, 109.47, 90.00 degrees
Fractional positions:
1 Ba 0.000 0.000 0.000
2 Ba 0.500 0.500 0.000
3 Mo 0.220 0.500 0.626
4 Mo 0.280 0.000 0.374
5 Mo 0.720 0.000 0.626
6 Mo 0.780 0.500 0.374
7 Cl 0.000 0.500 0.500
8 Cl 0.500 0.000 0.500

Density of states at the Fermi level (states/eV/f.u.): 2.833
Total moment (μB per formula unit): 0.0
Space group: C2/m

(c)
Here is crystalline BaMo2Cl at its relaxed geometry from Alexandria via LeMat-Bulk. Energies are from GGA-PBE.

Cell lengths 3.896, 3.896, 7.201 Å; angles 90.00, 90.00, 90.00 degrees
Fractional positions:
1 Ba 0.000 0.000 0.000
2 Mo 0.000 0.500 0.500
3 Mo 0.500 0.000 0.500
4 Cl 0.500 0.500 0.000

Density of states at the Fermi level (states/eV/f.u.): 4.917
Total moment (μB per formula unit): 0.0
Space group: P4/mmm

(d)
Here is crystalline BaMo2Cl at its relaxed geometry from Alexandria via LeMat-Bulk. Energies are from GGA-PBE.

Cell lengths 4.834, 4.834, 17.670 Å; angles 90.00, 90.00, 90.00 degrees
Fractional positions:
1 Ba 0.000 0.000 0.000
2 Ba 0.000 0.500 0.250
3 Ba 0.500 0.000 0.750
4 Ba 0.500 0.500 0.500
5 Mo 0.032 0.750 0.625
6 Mo 0.250 0.032 0.375
7 Mo 0.250 0.468 0.875
8 Mo 0.468 0.750 0.125
9 Mo 0.532 0.250 0.125
10 Mo 0.750 0.532 0.875
11 Mo 0.750 0.968 0.375
12 Mo 0.968 0.250 0.625
13 Cl 0.000 0.000 0.500
14 Cl 0.000 0.500 0.750
15 Cl 0.500 0.000 0.250
16 Cl 0.500 0.500 0.000

Density of states at the Fermi level (states/eV/f.u.): 4.250
Total moment (μB per formula unit): 0.0
Space group: I-42d

Decreasing stability: (b), (c), (d), (a)

(a)
Here is crystalline BaMo2Cl at its relaxed geometry from Alexandria via LeMat-Bulk. Energies are from GGA-PBE.

Cell lengths 5.499, 14.085, 3.420 Å; angles 90.00, 127.68, 90.00 degrees
Fractional positions:
1 Ba 0.000 0.000 0.000
2 Ba 0.500 0.500 0.000
3 Mo 0.250 0.250 0.500
4 Mo 0.250 0.750 0.500
5 Mo 0.750 0.250 0.500
6 Mo 0.750 0.750 0.500
7 Cl 0.000 0.500 0.000
8 Cl 0.500 0.000 0.000

Density of states at the Fermi level (states/eV/f.u.): 5.037
Total moment (μB per formula unit): 0.0
Space group: C2/m

(b)
Here is crystalline BaMo2Cl at its relaxed geometry from Alexandria via LeMat-Bulk. Energies are from GGA-PBE.

Cell lengths 7.125, 7.125, 7.125 Å; angles 90.00, 90.00, 90.00 degrees
Fractional positions:
1 Ba 0.000 0.000 0.000
2 Ba 0.000 0.500 0.500
3 Ba 0.500 0.000 0.500
4 Ba 0.500 0.500 0.000
5 Mo 0.000 0.000 0.500
6 Mo 0.000 0.500 0.000
7 Mo 0.250 0.250 0.750
8 Mo 0.250 0.750 0.250
9 Mo 0.500 0.000 0.000
10 Mo 0.500 0.500 0.500
11 Mo 0.750 0.250 0.250
12 Mo 0.750 0.750 0.750
13 Cl 0.250 0.250 0.250
14 Cl 0.250 0.750 0.750
15 Cl 0.750 0.250 0.750
16 Cl 0.750 0.750 0.250

Density of states at the Fermi level (states/eV/f.u.): 3.383
Total moment (μB per formula unit): 0.0
Space group: F-43m

(c)
Here is crystalline BaMo2Cl at its relaxed geometry from Alexandria via LeMat-Bulk. Energies are from GGA-PBE.

Cell lengths 3.491, 5.816, 6.121 Å; angles 90.00, 90.00, 90.00 degrees
Fractional positions:
1 Ba 0.000 0.000 0.000
2 Mo 0.500 0.178 0.500
3 Mo 0.500 0.822 0.500
4 Cl 0.000 0.500 0.000

Density of states at the Fermi level (states/eV/f.u.): 3.530
Total moment (μB per formula unit): 0.0
Space group: Pmmm

(d)
Here is crystalline BaMo2Cl at its relaxed geometry from Alexandria via LeMat-Bulk. Energies are from GGA-PBE.

Cell lengths 6.814, 6.814, 6.814 Å; angles 90.00, 90.00, 90.00 degrees
Fractional positions:
1 Ba 0.000 0.000 0.000
2 Ba 0.000 0.500 0.500
3 Ba 0.500 0.000 0.500
4 Ba 0.500 0.500 0.000
5 Mo 0.250 0.250 0.250
6 Mo 0.250 0.250 0.750
7 Mo 0.250 0.750 0.250
8 Mo 0.250 0.750 0.750
9 Mo 0.750 0.250 0.250
10 Mo 0.750 0.250 0.750
11 Mo 0.750 0.750 0.250
12 Mo 0.750 0.750 0.750
13 Cl 0.000 0.000 0.500
14 Cl 0.000 0.500 0.000
15 Cl 0.500 0.000 0.000
16 Cl 0.500 0.500 0.500

Density of states at the Fermi level (states/eV/f.u.): 5.494
Total moment (μB per formula unit): 0.0
Space group: Fm-3m

Decreasing stability: (a), (c), (b), (d)

(a)
Here is crystalline BaMo2Cl at its relaxed geometry from Alexandria via LeMat-Bulk. Energies are from GGA-PBE.

Cell lengths 3.010, 3.010, 9.173 Å; angles 90.00, 90.00, 90.00 degrees
Fractional positions:
1 Ba 0.000 0.000 0.000
2 Mo 0.500 0.500 0.317
3 Mo 0.500 0.500 0.683
4 Cl 0.000 0.000 0.500

Density of states at the Fermi level (states/eV/f.u.): 4.249
Total moment (μB per formula unit): 0.0
Space group: P4/mmm

(b)
Here is crystalline BaMo2Cl at its relaxed geometry from Alexandria via LeMat-Bulk. Energies are from GGA-PBE.

Cell lengths 3.409, 3.409, 8.745 Å; angles 90.00, 90.00, 90.00 degrees
Fractional positions:
1 Ba 0.000 0.000 0.000
2 Mo 0.000 0.000 0.575
3 Mo 0.500 0.500 0.686
4 Cl 0.500 0.500 0.225

Density of states at the Fermi level (states/eV/f.u.): 2.472
Total moment (μB per formula unit): 0.0
Space group: P4mm

Decreasing stability: (b), (a)